# 1
Ac3Mg6In5 (PBE, optimized geometry); total moment = 0.00 μB/f.u.; DFT formation energy = -0.316 eV per atom
1.0
4.7817 0.0000 1.3079
1.7787 8.7486 2.8919
0.0034 0.1759 9.3826
Ac Mg In
3 6 5
Direct
0.0000 0.0000 0.0000 Ac
0.7050 0.2950 0.2950 Ac
0.2950 0.7050 0.7050 Ac
0.5000 0.6882 0.3118 Mg
0.5000 0.3118 0.6882 Mg
0.8553 0.4245 0.8648 Mg
0.1447 0.5755 0.1352 Mg
0.8553 0.8648 0.4245 Mg
0.1447 0.1352 0.5755 Mg
0.6551 0.7080 0.9818 In
0.3449 0.2920 0.0182 In
0.6551 0.9818 0.7080 In
0.3449 0.0182 0.2920 In
0.0000 0.5000 0.5000 In



# 2
Tb4Y4Sc (PBE, optimized geometry); total moment = 0.00 μB/f.u.; DFT formation energy = 0.034 eV per atom
1.0
-2.1943 -2.6197 -3.6266
3.6457 -6.9953 -0.5761
-5.8855 -4.2169 3.1838
Tb Y Sc
4 4 1
Direct
0.6676 0.3324 0.3323 Tb
0.3324 0.6676 0.6677 Tb
0.0000 0.6677 0.3324 Tb
0.0000 0.3323 0.6676 Tb
0.6644 0.6712 0.0000 Y
0.3356 0.3288 0.0000 Y
0.6644 0.0000 0.6712 Y
0.3356 0.0000 0.3288 Y
0.0000 0.0000 0.0000 Sc



# 3
Cs2HgS (PBE, optimized geometry); total moment = 0.00 μB/f.u.; energy above the most stable polymorph in this dataset = 0.044 eV per atom
1.0
-0.3695 -4.2312 3.1533
4.2920 -1.8169 2.5019
-0.4635 3.2560 8.7517
Cs S Hg
2 1 1
Direct
0.2760 0.2760 0.1719 Cs
0.7240 0.7240 0.8281 Cs
0.0000 0.0000 0.0000 S
0.5000 0.5000 0.5000 Hg



no.,electronic total energy (eV per cell)
1,-40.01
2,-50.40
3,-8.84